GGA+U LiP4WO12, optimized geometry; magnetization = 3.00 μB/f.u.; DFT total energy = -256.91 eV/cell; density = 2.837 g/cm3; DOS at the Fermi energy = 0.000 states/eV/f.u.
1.0
10.8867 -0.0152 0.1838
3.6697 10.2496 0.1838
0.9241 0.6498 5.3360
Li P W O
2 8 2 24
Direct
0.4065 0.4065 0.4915
0.5935 0.5935 0.5085
0.3633 0.7927 0.8343
0.7927 0.3633 0.8343
0.9367 0.7010 0.4508
0.7010 0.9367 0.4508
0.0633 0.2990 0.5492
0.2990 0.0633 0.5492
0.2073 0.6367 0.1657
0.6367 0.2073 0.1657
0.0000 0.5000 0.0000
0.5000 0.0000 0.0000
0.7658 0.2342 0.0000
0.2342 0.7658 0.0000
0.6692 0.9210 0.7323
0.9210 0.6692 0.7323
0.1657 0.5656 0.9992
0.5656 0.1657 0.9992
0.4383 0.6843 0.6835
0.6843 0.4383 0.6835
0.2871 0.9204 0.6506
0.9204 0.2871 0.6506
0.8515 0.8515 0.3786
0.0983 0.3861 0.6928
0.3861 0.0983 0.6928
0.6139 0.9017 0.3072
0.9017 0.6139 0.3072
0.1485 0.1485 0.6214
0.0796 0.7129 0.3494
0.7129 0.0796 0.3494
0.5617 0.3157 0.3165
0.3157 0.5617 0.3165
0.4344 0.8343 0.0008
0.8343 0.4344 0.0008
0.0790 0.3308 0.2677
0.3308 0.0790 0.2677